DFT (PBE-GGA) results for crystalline Li7MgIn4 at its relaxed geometry.

- calculated formation energy (eV/atom) = -0.138
- volume (Å³/f.u.) = 245

```
data_Li7MgIn4
_cell_length_a 4.960
_cell_length_b 7.739
_cell_length_c 7.495
_cell_angle_alpha 67.74
_cell_angle_beta 70.67
_cell_angle_gamma 71.31
_symmetry_space_group_name_H-M 'P 1'
_symmetry_Int_Tables_number 1
loop_
_symmetry_equiv_pos_as_xyz
'x,y,z'
loop_
_atom_site_label
_atom_site_type_symbol
_atom_site_fract_x
_atom_site_fract_y
_atom_site_fract_z
Li1 Li 0.789 0.878 0.544
Li2 Li 0.211 0.122 0.456
Li3 Li 0.079 0.566 0.276
Li4 Li 0.921 0.434 0.724
Li5 Li 0.253 0.728 0.766
Li6 Li 0.500 0.000 0.000
Li7 Li 0.747 0.272 0.234
Mg1 Mg 0.000 0.000 0.000
In1 In 0.555 0.274 0.616
In2 In 0.445 0.726 0.384
In3 In 0.682 0.651 0.985
In4 In 0.318 0.349 0.015
```